(1)
TlB2W: relaxed, PBE.

Cell lengths 4.197, 4.197, 4.197 Å; angles 60.00, 60.00, 60.00 degrees
Fractional coordinates of all 4 atoms:
Tl: 0.000 0.000 0.000
B: 0.250 0.250 0.250
B: 0.750 0.750 0.750
W: 0.500 0.500 0.500

Values from the calculation:
size of the total moment = 0.00 μB per cell
polymorph energy (0 for the lowest one) = 2.351 eV/f.u.
energy of formation from the pure elements = 1703 meV/atom


(2)
Tl3BW: relaxed, PBE.

Cell lengths 5.395, 5.395, 5.395 Å; angles 90.00, 90.00, 90.00 degrees
Fractional coordinates of all 5 atoms:
Tl: 0.000 0.000 0.500
Tl: 0.000 0.500 0.000
Tl: 0.500 0.000 0.000
B: 0.500 0.500 0.500
W: 0.000 0.000 0.000

Values from the calculation:
size of the total moment = 0.00 μB per cell
polymorph energy (0 for the lowest one) = 0.366 eV/f.u.
energy of formation from the pure elements = 1712 meV/atom


(3)
TlB2W: relaxed, PBE.

Cell lengths 6.039, 6.039, 6.039 Å; angles 125.90, 125.90, 80.05 degrees
Fractional coordinates of all 8 atoms:
Tl: 0.000 0.000 0.000
Tl: 0.750 0.250 0.500
B: 0.179 0.625 0.054
B: 0.375 0.429 0.554
B: 0.571 0.125 0.946
B: 0.875 0.821 0.446
W: 0.250 0.750 0.500
W: 0.500 0.500 0.000

Values from the calculation:
size of the total moment = 0.00 μB per cell
polymorph energy (0 for the lowest one) = 0.000 eV/f.u.
energy of formation from the pure elements = 1115 meV/atom


(4)
TlB2W2: relaxed, PBE.

Cell lengths 6.942, 6.942, 3.104 Å; angles 90.00, 90.00, 90.00 degrees
Fractional coordinates of all 10 atoms:
Tl: 0.000 0.000 0.000
Tl: 0.500 0.500 0.000
B: 0.101 0.399 0.500
B: 0.399 0.899 0.500
B: 0.601 0.101 0.500
B: 0.899 0.601 0.500
W: 0.135 0.635 0.000
W: 0.365 0.135 0.000
W: 0.635 0.865 0.000
W: 0.865 0.365 0.000

Values from the calculation:
size of the total moment = 0.00 μB per cell
polymorph energy (0 for the lowest one) = 0.432 eV/f.u.
energy of formation from the pure elements = 800 meV/atom


(5)
TlBW3: relaxed, PBE.

Cell lengths 4.293, 4.293, 4.293 Å; angles 90.00, 90.00, 90.00 degrees
Fractional coordinates of all 5 atoms:
Tl: 0.000 0.000 0.000
B: 0.500 0.500 0.500
W: 0.000 0.500 0.500
W: 0.500 0.000 0.500
W: 0.500 0.500 0.000

Values from the calculation:
size of the total moment = 0.00 μB per cell
polymorph energy (0 for the lowest one) = 0.000 eV/f.u.
energy of formation from the pure elements = 671 meV/atom


(6)
TlB2W2: relaxed, PBE.

Cell lengths 5.288, 5.288, 5.288 Å; angles 134.81, 134.81, 65.83 degrees
Fractional coordinates of all 5 atoms:
Tl: 0.000 0.000 0.000
B: 0.250 0.750 0.500
B: 0.750 0.250 0.500
W: 0.348 0.348 0.000
W: 0.652 0.652 0.000

Values from the calculation:
size of the total moment = 0.00 μB per cell
polymorph energy (0 for the lowest one) = 0.000 eV/f.u.
energy of formation from the pure elements = 714 meV/atom


(7)
YTlB2: relaxed, PBE.

Cell lengths 8.008, 8.008, 8.008 Å; angles 146.86, 146.86, 47.57 degrees
Fractional coordinates of all 8 atoms:
Y: 0.000 0.000 0.000
Y: 0.750 0.250 0.500
Tl: 0.250 0.750 0.500
Tl: 0.500 0.500 0.000
B: 0.214 0.625 0.089
B: 0.375 0.464 0.589
B: 0.536 0.125 0.911
B: 0.875 0.786 0.411

Values from the calculation:
size of the total moment = 0.00 μB per cell
energy of formation from the pure elements = 908 meV/atom


(8)
YTl2B: relaxed, PBE.

Cell lengths 6.340, 6.340, 6.340 Å; angles 101.07, 101.07, 128.02 degrees
Fractional coordinates of all 8 atoms:
Y: 0.000 0.000 0.000
Y: 0.750 0.250 0.500
Tl: 0.208 0.625 0.083
Tl: 0.375 0.458 0.583
Tl: 0.542 0.125 0.917
Tl: 0.875 0.792 0.417
B: 0.250 0.750 0.500
B: 0.500 0.500 0.000

Values from the calculation:
size of the total moment = 0.00 μB per cell
polymorph energy (0 for the lowest one) = 0.000 eV/f.u.
energy of formation from the pure elements = 335 meV/atom


| no. | mass density (g/cm3) |
| --- | --- |
| 1 | 13.017 |
| 2 | 8.544 |
| 3 | 9.758 |
| 4 | 13.180 |
| 5 | 16.091 |
| 6 | 13.448 |
| 7 | 6.839 |
| 8 | 9.360 |